Here is crystalline Nd3AgSn at its relaxed geometry from the Alexandria database. Energies are from PBE-GGA.

Total DFT energy (no corrections): -0.1675 hartree per atom
Energy relative to the elements: -327 meV per atom
Total magnetic moment: 0.00 μB/f.u.
Crystal system: orthorhombic

Lattice parameters (Å, degrees): 4.566 6.937 10.016 90.00 90.00 90.00
Positions (direct):
Nd 0.250 0.250 0.926
Nd 0.750 0.986 0.684
Nd 0.750 0.750 0.074
Nd 0.750 0.514 0.684
Nd 0.250 0.486 0.316
Nd 0.250 0.014 0.316
Sn 0.250 0.750 0.856
Sn 0.750 0.250 0.144
Ag 0.250 0.250 0.585
Ag 0.750 0.750 0.415